Density functional theory data (PBE-GGA) for a relaxed structure of YZr2Re.

Properties
Calculated volume (Å³/f.u.): 89
Raw total energy (eV per atom): -9.00
Offset from the most stable computed form (eV per atom): 0.0344
Energy relative to the elements (eV/atom): 0.006

Unit cell a=6.0146 b=6.0146 c=4.9043 alpha=65.94 beta=65.94 gamma=33.70
Sites, in units of the cell vectors:
1 Re 0.4882 0.4882 0.5147
2 Y 0.2180 0.2180 0.2807
3 Zr 0.0004 0.0004 0.9990
4 Zr 0.7934 0.7934 0.7056

Density functional theory data (PBE-GGA) for a relaxed structure of Pm4Cd3Hg2.

Properties
Calculated volume (Å³/f.u.): 246
Raw total energy (eV per atom): -2.82
Energy relative to the elements (eV/atom): -0.340

Unit cell a=5.2781 b=5.2734 c=10.1905 alpha=90.04 beta=90.00 gamma=59.97
Sites, in units of the cell vectors:
1 Pm 0.6664 0.6671 0.8795
2 Pm 0.0002 0.9996 0.3321
3 Pm 0.9998 0.0004 0.6679
4 Pm 0.3336 0.3329 0.1205
5 Cd 0.3334 0.3333 0.4865
6 Cd 0.0000 0.0000 0.0000
7 Cd 0.6666 0.6667 0.5135
8 Hg 0.3330 0.3340 0.8077
9 Hg 0.6670 0.6660 0.1923

Density functional theory data (PBE-GGA) for a relaxed structure of Pr5SmY.

Properties
Calculated volume (Å³/f.u.): 249
Raw total energy (eV per atom): -4.85
Offset from the most stable computed form (eV per atom): 0.0000
Energy relative to the elements (eV/atom): 0.164

Unit cell a=6.9576 b=6.9578 c=13.9134 alpha=63.32 beta=63.32 gamma=59.92
Sites, in units of the cell vectors:
1 Pr 0.8468 0.6052 0.2492
2 Pr 0.3473 0.3036 0.4999
3 Pr 0.6052 0.8468 0.7492
4 Pr 0.2942 0.7057 0.2500
5 Pr 0.6964 0.6527 0.0001
6 Pr 0.3036 0.3473 0.9999
7 Pr 0.7058 0.2943 0.7500
8 Pr 0.3948 0.1532 0.2508
9 Pr 0.6527 0.6964 0.5001
10 Pr 0.1532 0.3948 0.7508
11 Sm 0.0000 0.0000 0.0000
12 Sm 0.0000 0.0000 0.5000
13 Y 0.8415 0.1585 0.2500
14 Y 0.1585 0.8415 0.7500

Density functional theory data (PBE-GGA) for a relaxed structure of ReAg2Ir.

Properties
Calculated volume (Å³/f.u.): 65
Raw total energy (eV per atom): -6.54
Offset from the most stable computed form (eV per atom): 0.0086
Energy relative to the elements (eV/atom): 0.216

Unit cell a=2.8041 b=2.8041 c=8.2897 alpha=90.00 beta=90.00 gamma=90.00
Sites, in units of the cell vectors:
1 Re 0.5000 0.5000 0.7276
2 Ir 0.0000 0.0000 0.5230
3 Ag 0.0000 0.0000 0.9914
4 Ag 0.5000 0.5000 0.2580

Density functional theory data (PBE-GGA) for a relaxed structure of DyIrPb.

Properties
Calculated volume (Å³/f.u.): 75
Raw total energy (eV per atom): -6.17
Energy relative to the elements (eV/atom): -0.449

Unit cell a=4.7359 b=4.7359 c=4.7359 alpha=60.00 beta=60.00 gamma=60.00
Sites, in units of the cell vectors:
1 Pb 0.5000 0.5000 0.5000
2 Ir 0.2500 0.2500 0.2500
3 Dy 0.0000 0.0000 0.0000

Density functional theory data (PBE-GGA) for a relaxed structure of Tb3Pm5Pr.

Properties
Calculated volume (Å³/f.u.): 306
Raw total energy (eV per atom): -4.59
Offset from the most stable computed form (eV per atom): 0.0000
Energy relative to the elements (eV/atom): 0.128

Unit cell a=9.4289 b=10.0591 c=7.3143 alpha=90.01 beta=90.00 gamma=117.95
Sites, in units of the cell vectors:
1 Tb 0.0000 0.0000 0.0000
2 Tb 0.8211 0.6418 0.2500
3 Tb 0.0000 0.0000 0.5000
4 Tb 0.1789 0.3582 0.7500
5 Tb 0.8207 0.6418 0.7500
6 Tb 0.1793 0.3582 0.2500
7 Pm 0.3318 0.0000 0.7500
8 Pm 0.5119 0.6705 0.9995
9 Pm 0.8414 0.3294 0.9995
10 Pm 0.4881 0.3295 0.0005
11 Pm 0.5119 0.6706 0.5005
12 Pm 0.6682 0.0000 0.2500
13 Pm 0.1586 0.6705 0.4995
14 Pm 0.8414 0.3295 0.5005
15 Pm 0.4881 0.3294 0.4995
16 Pm 0.1586 0.6706 0.0005
17 Pr 0.6964 0.0000 0.7500
18 Pr 0.3036 0.0000 0.2500

Density functional theory data (PBE-GGA) for a relaxed structure of MnSnIrSe.

Properties
Calculated volume (Å³/f.u.): 72
Raw total energy (eV per atom): -6.47
Offset from the most stable computed form (eV per atom): 0.0000
Formation energy without anion corrections (eV per atom): -0.090

Unit cell a=3.2805 b=3.5404 c=6.1999 alpha=90.00 beta=90.00 gamma=90.00
Each line ends with the local moment (μB).
Sites, in units of the cell vectors:
1 Mn 0.0000 0.5000 0.1067  3.39
2 Sn 0.0000 0.5000 0.5988  -0.07
3 Ir 0.5000 0.0000 0.3807  0.13
4 Se 0.5000 0.0000 0.9784  -0.06

Density functional theory data (PBE-GGA) for a relaxed structure of Tc4Cl5.

Properties
Calculated volume (Å³/f.u.): 207
Raw total energy (eV per atom): -5.22
Formation energy without anion corrections (eV per atom): 0.416

Unit cell a=7.6760 b=7.6760 c=8.0938 alpha=90.00 beta=90.00 gamma=120.00
Each line ends with the local moment (μB).
Sites, in units of the cell vectors:
1 Tc 0.0000 0.0000 0.0000  0.82
2 Tc 0.0000 0.0000 0.5000  0.82
3 Tc 0.0000 0.1997 0.2500  -0.01
4 Tc 0.8003 0.8003 0.2500  -0.01
5 Tc 0.1997 0.0000 0.2500  -0.01
6 Tc 0.0000 0.8003 0.7500  -0.01
7 Tc 0.1997 0.1997 0.7500  -0.01
8 Tc 0.8003 0.0000 0.7500  -0.01
9 Cl 0.0000 0.6511 0.2500  -0.01
10 Cl 0.3489 0.3489 0.2500  -0.01
11 Cl 0.6511 0.0000 0.2500  -0.01
12 Cl 0.0000 0.3489 0.7500  -0.01
13 Cl 0.6511 0.6511 0.7500  -0.01
14 Cl 0.3489 0.0000 0.7500  -0.01
15 Cl 0.6667 0.3333 0.0000  -0.01
16 Cl 0.3333 0.6667 0.5000  -0.01
17 Cl 0.3333 0.6667 0.0000  -0.01
18 Cl 0.6667 0.3333 0.5000  -0.01

Density functional theory data (PBE-GGA) for a relaxed structure of CaGa2Os2.

Properties
Calculated volume (Å³/f.u.): 96
Raw total energy (eV per atom): -6.17
Energy relative to the elements (eV/atom): -0.067

Unit cell a=4.3895 b=4.3895 c=5.8564 alpha=67.99 beta=67.99 gamma=90.00
Sites, in units of the cell vectors:
1 Ca 0.0000 0.0000 0.0000
2 Os 0.3819 0.3819 0.2362
3 Os 0.6181 0.6181 0.7638
4 Ga 0.7500 0.2500 0.5000
5 Ga 0.2500 0.7500 0.5000

Density functional theory data (PBE-GGA) for a relaxed structure of LaPmNd2Er5.

Properties
Calculated volume (Å³/f.u.): 297
Raw total energy (eV per atom): -4.42
Energy relative to the elements (eV/atom): 0.246

Unit cell a=8.7279 b=8.7279 c=9.9479 alpha=116.02 beta=116.02 gamma=90.00
Sites, in units of the cell vectors:
1 La 0.2500 0.2500 0.5000
2 La 0.7500 0.7500 0.5000
3 Pm 0.2500 0.7500 0.5000
4 Pm 0.7500 0.2500 0.5000
5 Nd 0.1175 0.3825 0.0000
6 Nd 0.6175 0.1175 0.0000
7 Nd 0.3825 0.8825 0.0000
8 Nd 0.8825 0.6175 0.0000
9 Er 0.9273 0.4273 0.2725
10 Er 0.6548 0.1548 0.7275
11 Er 0.0727 0.5727 0.7275
12 Er 0.1548 0.0727 0.7275
13 Er 0.5727 0.6548 0.7275
14 Er 0.8452 0.9273 0.2725
15 Er 0.4273 0.3452 0.2725
16 Er 0.3452 0.8452 0.2725
17 Er 0.5000 0.5000 0.0000
18 Er 0.0000 0.0000 0.0000

Density functional theory data (PBE-GGA) for a relaxed structure of Zn3InAu3.

Properties
Calculated volume (Å³/f.u.): 182
Raw total energy (eV per atom): -2.18
Energy relative to the elements (eV/atom): 0.164

Unit cell a=7.1439 b=7.1439 c=7.1439 alpha=90.00 beta=90.00 gamma=90.00
Sites, in units of the cell vectors:
1 Zn 0.2500 0.0000 0.5000
2 Zn 0.0000 0.5000 0.2500
3 Zn 0.5000 0.7500 0.0000
4 Zn 0.7500 0.0000 0.5000
5 Zn 0.0000 0.5000 0.7500
6 Zn 0.5000 0.2500 0.0000
7 Au 0.0000 0.2500 0.5000
8 Au 0.0000 0.7500 0.5000
9 Au 0.5000 0.0000 0.7500
10 Au 0.7500 0.5000 0.0000
11 Au 0.5000 0.0000 0.2500
12 Au 0.2500 0.5000 0.0000
13 In 0.5000 0.5000 0.5000
14 In 0.0000 0.0000 0.0000

Density functional theory data (PBE-GGA) for a relaxed structure of Ho6AuSe2S3.

Properties
Calculated volume (Å³/f.u.): 270
Raw total energy (eV per atom): -5.88
Formation energy without anion corrections (eV per atom): -1.702

Unit cell a=6.9145 b=6.9145 c=6.9105 alpha=99.59 beta=99.59 gamma=120.04
Sites, in units of the cell vectors:
1 Ho 0.9140 0.5796 0.7380
2 Ho 0.7560 0.7560 0.2661
3 Ho 0.0860 0.4204 0.2620
4 Ho 0.5796 0.9140 0.7380
5 Ho 0.2440 0.2440 0.7339
6 Ho 0.4204 0.0860 0.2620
7 Au 0.0000 0.0000 0.0000
8 Se 0.3350 0.6650 0.0000
9 Se 0.6650 0.3350 0.0000
10 S 0.1699 0.8301 0.5000
11 S 0.8301 0.1699 0.5000
12 S 0.5000 0.5000 0.5000

Q: Which value of calculated volume does entry 4 give?
A: 65 Å³/f.u.

Please write out number 8 again, unchanged.
Density functional theory data (PBE-GGA) for a relaxed structure of Tc4Cl5.

Properties
Calculated volume (Å³/f.u.): 207
Raw total energy (eV per atom): -5.22
Formation energy without anion corrections (eV per atom): 0.416

Unit cell a=7.6760 b=7.6760 c=8.0938 alpha=90.00 beta=90.00 gamma=120.00
Each line ends with the local moment (μB).
Sites, in units of the cell vectors:
1 Tc 0.0000 0.0000 0.0000  0.82
2 Tc 0.0000 0.0000 0.5000  0.82
3 Tc 0.0000 0.1997 0.2500  -0.01
4 Tc 0.8003 0.8003 0.2500  -0.01
5 Tc 0.1997 0.0000 0.2500  -0.01
6 Tc 0.0000 0.8003 0.7500  -0.01
7 Tc 0.1997 0.1997 0.7500  -0.01
8 Tc 0.8003 0.0000 0.7500  -0.01
9 Cl 0.0000 0.6511 0.2500  -0.01
10 Cl 0.3489 0.3489 0.2500  -0.01
11 Cl 0.6511 0.0000 0.2500  -0.01
12 Cl 0.0000 0.3489 0.7500  -0.01
13 Cl 0.6511 0.6511 0.7500  -0.01
14 Cl 0.3489 0.0000 0.7500  -0.01
15 Cl 0.6667 0.3333 0.0000  -0.01
16 Cl 0.3333 0.6667 0.5000  -0.01
17 Cl 0.3333 0.6667 0.0000  -0.01
18 Cl 0.6667 0.3333 0.5000  -0.01